# 1
LiHf2BeCr | GGA-PBE | optimized geometry

* D(E_F): 4.7 states/eV/f.u.
* total magnetic moment: 0.00 μB/f.u.
* symmetry: P4/mmm
* ΔH_f (0 K): 0.835 eV/atom

a = 4.716 Å, b = 3.784 Å, c = 4.716 Å
α = 90.00°, β = 90.00°, γ = 90.00°
Positions (direct):
Cr1 0.500 0.500 0.500
Li1 0.000 0.500 0.000
Hf1 0.000 0.000 0.500
Hf2 0.500 0.000 0.000
Be1 0.000 0.000 0.000

# 2
Hf2MgBeCr | GGA-PBE | optimized geometry

* D(E_F): 2.7 states/eV/f.u.
* total magnetic moment: 1.82 μB/f.u.
* symmetry: P4/mmm
* ΔH_f (0 K): 0.447 eV/atom

a = 4.754 Å, b = 4.163 Å, c = 4.754 Å
α = 90.00°, β = 90.00°, γ = 90.00°
Positions (direct):
Cr1 0.000 0.500 0.000
Mg1 0.500 0.500 0.500
Hf1 0.000 0.000 0.500
Hf2 0.500 0.000 0.000
Be1 0.000 0.000 0.000

# 3
HfMn2BeCr | GGA-PBE | optimized geometry

* D(E_F): 4.4 states/eV/f.u.
* total magnetic moment: 2.54 μB/f.u.
* symmetry: P4/mmm
* ΔH_f (0 K): 0.660 eV/atom

a = 4.170 Å, b = 4.174 Å, c = 4.170 Å
α = 90.00°, β = 90.00°, γ = 90.00°
Positions (direct):
Cr1 0.000 0.000 0.000
Mn1 0.000 0.000 0.500
Mn2 0.500 0.000 0.000
Hf1 0.500 0.500 0.500
Be1 0.000 0.500 0.000

# 4
HfMn2BeCr | GGA-PBE | optimized geometry

* D(E_F): 4.3 states/eV/f.u.
* total magnetic moment: 2.71 μB/f.u.
* symmetry: P4/mmm
* ΔH_f (0 K): 1.090 eV/atom

a = 4.172 Å, b = 4.813 Å, c = 4.172 Å
α = 90.00°, β = 90.00°, γ = 90.00°
Positions (direct):
Cr1 0.000 0.000 0.000
Mn1 0.000 0.000 0.500
Mn2 0.500 0.000 0.000
Hf1 0.000 0.500 0.000
Be1 0.500 0.500 0.500

# 5
Hf2BeCrMo | GGA-PBE | optimized geometry

* D(E_F): 6.4 states/eV/f.u.
* total magnetic moment: 0.00 μB/f.u.
* symmetry: P4/mmm
* ΔH_f (0 K): 0.957 eV/atom

a = 4.708 Å, b = 4.047 Å, c = 4.708 Å
α = 90.00°, β = 90.00°, γ = 90.00°
Positions (direct):
Cr1 0.000 0.000 0.000
Mo1 0.500 0.500 0.500
Hf1 0.000 0.000 0.500
Hf2 0.500 0.000 0.000
Be1 0.000 0.500 0.000

# 6
NaHfBeCr2 | GGA-PBE | optimized geometry

* D(E_F): 9.8 states/eV/f.u.
* total magnetic moment: 0.22 μB/f.u.
* symmetry: P4/mmm
* ΔH_f (0 K): 1.775 eV/atom

a = 4.606 Å, b = 4.968 Å, c = 4.606 Å
α = 90.00°, β = 90.00°, γ = 90.00°
Positions (direct):
Cr1 0.000 0.000 0.500
Cr2 0.500 0.000 0.000
Hf1 0.000 0.000 0.000
Be1 0.000 0.500 0.000
Na1 0.500 0.500 0.500

# 7
BeCr2Hg | GGA-PBE | optimized geometry

* D(E_F): 2.7 states/eV/f.u.
* total magnetic moment: 0.00 μB/f.u.
* symmetry: C2/m
* ΔH_f (0 K): 0.640 eV/atom

a = 5.220 Å, b = 4.860 Å, c = 2.638 Å
α = 86.03°, β = 67.89°, γ = 115.78°
Positions (direct):
Cr1 0.000 0.000 0.000
Cr2 0.500 0.000 0.500
Hg1 0.000 0.500 0.500
Be1 0.500 0.500 0.000

# 8
BeCrHg | GGA-PBE | optimized geometry

* D(E_F): 1.1 states/eV/f.u.
* total magnetic moment: 3.30 μB/f.u.
* symmetry: I4mm
* ΔH_f (0 K): 0.482 eV/atom

a = 5.411 Å, b = 5.411 Å, c = 2.999 Å
α = 73.91°, β = 73.91°, γ = 32.18°
Positions (direct):
Cr1 0.357 0.357 0.643
Hg1 0.655 0.655 0.345
Be1 0.987 0.987 0.013

# 9
BeCrHg2 | GGA-PBE | optimized geometry

* D(E_F): 1.6 states/eV/f.u.
* total magnetic moment: 3.93 μB/f.u.
* symmetry: F-43m
* ΔH_f (0 K): 0.602 eV/atom

a = 4.625 Å, b = 4.625 Å, c = 4.625 Å
α = 60.00°, β = 60.00°, γ = 60.00°
Positions (direct):
Cr1 0.750 0.750 0.750
Hg1 0.000 0.000 0.000
Hg2 0.250 0.250 0.250
Be1 0.500 0.500 0.500

# 10
Be2Cr2Hg | GGA-PBE | optimized geometry

* D(E_F): 3.0 states/eV/f.u.
* total magnetic moment: 0.00 μB/f.u.
* symmetry: P4/mbm
* ΔH_f (0 K): 0.470 eV/atom

a = 6.694 Å, b = 6.694 Å, c = 2.863 Å
α = 90.00°, β = 90.00°, γ = 90.00°
Positions (direct):
Cr1 0.396 0.896 0.000
Cr2 0.896 0.604 0.000
Cr3 0.604 0.104 0.000
Cr4 0.104 0.396 0.000
Hg1 0.000 0.000 0.000
Hg2 0.500 0.500 0.000
Be1 0.187 0.687 0.500
Be2 0.687 0.813 0.500
Be3 0.813 0.313 0.500
Be4 0.313 0.187 0.500

# 11
BeCr2Hg2 | GGA-PBE | optimized geometry

* D(E_F): 2.7 states/eV/f.u.
* total magnetic moment: 1.31 μB/f.u.
* symmetry: P4/mbm
* ΔH_f (0 K): 0.830 eV/atom

a = 6.625 Å, b = 6.625 Å, c = 3.930 Å
α = 90.00°, β = 90.00°, γ = 90.00°
Positions (direct):
Cr1 0.102 0.602 0.500
Cr2 0.602 0.898 0.500
Cr3 0.898 0.398 0.500
Cr4 0.398 0.102 0.500
Hg1 0.313 0.813 0.000
Hg2 0.813 0.687 0.000
Hg3 0.687 0.187 0.000
Hg4 0.187 0.313 0.000
Be1 0.000 0.000 0.000
Be2 0.500 0.500 0.000

# 12
BeCr2Hg | GGA-PBE | optimized geometry

* D(E_F): 4.5 states/eV/f.u.
* total magnetic moment: 0.72 μB/f.u.
* symmetry: P4/mmm
* ΔH_f (0 K): 0.542 eV/atom

a = 2.713 Å, b = 2.712 Å, c = 7.126 Å
α = 90.00°, β = 90.00°, γ = 90.04°
Positions (direct):
Cr1 0.000 0.000 0.944
Cr2 0.000 0.000 0.556
Hg1 0.500 0.500 0.250
Be1 0.500 0.500 0.750

# 13
Be2Cr2Hg | GGA-PBE | optimized geometry

* D(E_F): 3.6 states/eV/f.u.
* total magnetic moment: 4.88 μB/f.u.
* symmetry: P4/mbm
* ΔH_f (0 K): 0.316 eV/atom

a = 6.363 Å, b = 6.363 Å, c = 3.121 Å
α = 90.00°, β = 90.00°, γ = 90.00°
Positions (direct):
Cr1 0.162 0.662 0.500
Cr2 0.662 0.838 0.500
Cr3 0.838 0.338 0.500
Cr4 0.338 0.162 0.500
Hg1 0.000 0.000 0.000
Hg2 0.500 0.500 0.000
Be1 0.378 0.878 0.000
Be2 0.878 0.622 0.000
Be3 0.622 0.122 0.000
Be4 0.122 0.378 0.000

# 14
BeCr2Hg | GGA-PBE | optimized geometry

* D(E_F): 11.4 states/eV/f.u.
* total magnetic moment: 0.00 μB/f.u.
* symmetry: Fm-3m
* ΔH_f (0 K): 0.839 eV/atom

a = 4.242 Å, b = 4.242 Å, c = 4.242 Å
α = 60.00°, β = 60.00°, γ = 60.00°
Positions (direct):
Cr1 0.250 0.250 0.250
Cr2 0.750 0.750 0.750
Hg1 0.500 0.500 0.500
Be1 0.000 0.000 0.000

# 15
BeCr2Hg2 | GGA-PBE | optimized geometry

* D(E_F): 4.2 states/eV/f.u.
* total magnetic moment: 0.00 μB/f.u.
* symmetry: I4/mmm
* ΔH_f (0 K): 0.762 eV/atom

a = 3.237 Å, b = 3.237 Å, c = 7.964 Å
α = 78.28°, β = 78.28°, γ = 90.00°
Positions (direct):
Cr1 0.750 0.250 0.500
Cr2 0.250 0.750 0.500
Hg1 0.403 0.403 0.194
Hg2 0.597 0.597 0.806
Be1 0.000 0.000 0.000

# 16
BeCrHg | GGA-PBE | optimized geometry

* D(E_F): 0.9 states/eV/f.u.
* total magnetic moment: 2.99 μB/f.u.
* symmetry: F-43m
* ΔH_f (0 K): 0.519 eV/atom

a = 4.054 Å, b = 4.054 Å, c = 4.054 Å
α = 60.00°, β = 60.00°, γ = 60.00°
Positions (direct):
Cr1 0.000 0.000 0.000
Hg1 0.500 0.500 0.500
Be1 0.750 0.750 0.750

# 17
BeCr2Hg | GGA-PBE | optimized geometry

* D(E_F): 3.1 states/eV/f.u.
* total magnetic moment: 0.01 μB/f.u.
* symmetry: Pmmm
* ΔH_f (0 K): 0.439 eV/atom

a = 3.629 Å, b = 3.647 Å, c = 4.252 Å
α = 90.00°, β = 90.00°, γ = 90.00°
Positions (direct):
Cr1 0.000 0.000 0.000
Cr2 0.500 0.500 0.000
Hg1 0.500 0.000 0.500
Be1 0.000 0.500 0.500

# 18
Be2Cr2Hg | GGA-PBE | optimized geometry

* D(E_F): 4.4 states/eV/f.u.
* total magnetic moment: 1.06 μB/f.u.
* symmetry: I4/mmm
* ΔH_f (0 K): 0.832 eV/atom

a = 4.079 Å, b = 4.079 Å, c = 4.836 Å
α = 65.05°, β = 65.05°, γ = 90.00°
Positions (direct):
Cr1 0.364 0.364 0.272
Cr2 0.636 0.636 0.728
Hg1 0.000 0.000 0.000
Be1 0.750 0.250 0.500
Be2 0.250 0.750 0.500

# 19
BeCrHg2 | GGA-PBE | optimized geometry

* D(E_F): 2.2 states/eV/f.u.
* total magnetic moment: 4.01 μB/f.u.
* symmetry: R-3m
* ΔH_f (0 K): 0.580 eV/atom

a = 8.329 Å, b = 8.329 Å, c = 8.329 Å
α = 22.22°, β = 22.22°, γ = 22.22°
Positions (direct):
Cr1 0.750 0.750 0.750
Hg1 0.992 0.992 0.992
Hg2 0.508 0.508 0.508
Be1 0.250 0.250 0.250

# 20
BeCrHg3 | GGA-PBE | optimized geometry

* D(E_F): 2.5 states/eV/f.u.
* total magnetic moment: 4.74 μB/f.u.
* symmetry: Pm-3m
* ΔH_f (0 K): 0.570 eV/atom

a = 4.741 Å, b = 4.741 Å, c = 4.741 Å
α = 90.00°, β = 90.00°, γ = 90.00°
Positions (direct):
Cr1 0.500 0.500 0.500
Hg1 0.000 0.500 0.000
Hg2 0.000 0.000 0.500
Hg3 0.500 0.000 0.000
Be1 0.000 0.000 0.000